Compound: Ac2La7Tb4
Source: Alexandria
Functional: PBE-GGA
Structure: relaxed

Results
The calculation puts the formation energy at 17 kJ/mol of atoms. The value obtained for the total magnetization is 0.00 μB per formula unit. The value obtained for the density of states at the Fermi level is 19.67 states/eV/cell.

Cell: 6.433 6.433 13.267 Å, 90.00 90.00 120.00°
Fractional coordinates of all 13 atoms:
La: 0.620 0.000 0.235
La: 0.620 0.620 0.765
Tb: 0.000 0.000 0.609
Ac: 0.667 0.333 0.000
La: 0.000 0.000 0.000
Tb: 0.333 0.667 0.500
Ac: 0.333 0.667 0.000
La: 0.000 0.380 0.765
La: 0.380 0.000 0.765
Tb: 0.667 0.333 0.500
La: 0.380 0.380 0.235
La: 0.000 0.620 0.235
Tb: 0.000 0.000 0.391